First-principles (PBE) data for a geometry-optimized SmPaGePt structure, as listed in the Alexandria database.

Structure (CIF):
```
data_SmPaGePt
_chemical_formula_sum 'Sm4 Pa4 Ge4 Pt4'
_symmetry_space_group_name_H-M 'F -4 3 m'
_symmetry_Int_Tables_number 216
_symmetry_space_group_name_Hall 'F -4 2 3'
_cell_length_a 7.163
_cell_length_b 7.163
_cell_length_c 7.163
_cell_angle_alpha 90.00
_cell_angle_beta 90.00
_cell_angle_gamma 90.00
loop_
_atom_site_label
_atom_site_type_symbol
_atom_site_fract_x
_atom_site_fract_y
_atom_site_fract_z
Sm1 Sm 0.000 0.000 0.000
Pa1 Pa 0.000 0.000 0.500
Ge1 Ge 0.250 0.250 0.750
Pt1 Pt 0.250 0.250 0.250
```

Calculated values
Its formation energy is -2.26 eV/f.u.